CaMo2Pb: relaxed, PBE.

Properties
- symmetry = P4/mmm, No. 123
- formation enthalpy at 0 K (meV per atom) = 709
- total energy (eV/f.u.) = -24.54

a b c (Å): 4.117 4.117 4.764
angles (deg): 90.00 90.00 90.00
Sites, in units of the cell vectors:
Ca1 0.000 0.000 0.000
Mo1 0.000 0.500 0.500
Mo2 0.500 0.000 0.500
Pb1 0.500 0.500 0.000



Ca2MoPb: relaxed, PBE.

Properties
- symmetry = P4mm, No. 99
- formation enthalpy at 0 K (meV per atom) = 315
- total energy (eV/f.u.) = -17.28

a b c (Å): 3.702 3.702 8.204
angles (deg): 90.00 90.00 90.00
Sites, in units of the cell vectors:
Ca1 0.000 0.000 0.000
Ca2 0.500 0.500 0.371
Mo1 0.000 0.000 0.610
Pb1 0.500 0.500 0.755



CaMo3Pb: relaxed, PBE.

Properties
- symmetry = Pm-3m, No. 221
- formation enthalpy at 0 K (meV per atom) = 2111
- total energy (eV/f.u.) = -27.65
- energy relative to the lowest polymorph listed for this composition (eV per atom) = 0.0000

a b c (Å): 5.101 5.101 5.101
angles (deg): 90.00 90.00 90.00
Sites, in units of the cell vectors:
Ca1 0.000 0.000 0.000
Mo1 0.000 0.500 0.500
Mo2 0.500 0.000 0.500
Mo3 0.500 0.500 0.000
Pb1 0.500 0.500 0.500



Number 1: total magnetization 0.0 μB/f.u.. Number 2: total magnetization 0.0 μB/f.u.. Number 3: total magnetization 0.0 μB/f.u..